First-principles (PBE) data for a relaxed Sb3As2 crystal, as listed in Alexandria.

Cell: 8.8756 8.8756 8.8756 Å, 27.27 27.27 27.27°
Atoms (fractional coordinates):
As1 0.6020 0.6020 0.6020
As2 0.3980 0.3980 0.3980
Sb1 0.0000 0.0000 0.0000
Sb2 0.7968 0.7968 0.7968
Sb3 0.2032 0.2032 0.2032

Output
E_form (uncorrected) = 0.064 eV per atom
Mass density = 6.6 g/cm³


First-principles (PBE) data for a relaxed TlInBiRh2 crystal, as listed in Alexandria.

Cell: 5.0424 5.5599 5.0424 Å, 90.00 90.00 90.00°
Last column: magnetic moment on the atom in μB.
Atoms (fractional coordinates):
Tl1 0.5000 0.5000 0.5000  0.03
Bi1 0.0000 0.5000 0.0000  0.10
Rh1 0.0000 0.0000 0.5000  0.54
Rh2 0.5000 0.0000 0.0000  0.55
In1 0.0000 0.0000 0.0000  -0.02

Output
DFT formation energy = 0.93 eV/atom
Mass density = 8.6 g/cm³


First-principles (PBE) data for a relaxed Na6TlGe2 crystal, as listed in Alexandria.

Cell: 5.3287 5.3287 10.4737 Å, 75.26 75.26 60.00°
Atoms (fractional coordinates):
Na1 0.4232 0.4232 0.7304
Na2 0.7057 0.7057 0.8829
Na3 0.8091 0.8091 0.5728
Na4 0.5768 0.5768 0.2696
Na5 0.1909 0.1909 0.4272
Na6 0.2943 0.2943 0.1171
Tl1 0.0000 0.0000 0.0000
Ge1 0.0903 0.0903 0.7292
Ge2 0.9097 0.9097 0.2708

Output
DFT formation energy = -0.06 eV/atom
Mass density = 3.3 g/cm³


First-principles (PBE) data for a relaxed BaAuBr4 crystal, as listed in Alexandria.

Cell: 6.7257 6.7257 6.7256 Å, 111.90 111.91 104.71°
Atoms (fractional coordinates):
Br1 0.7460 0.7444 0.4882
Br2 0.2562 0.2578 0.5118
Br3 0.2556 0.7438 0.0016
Br4 0.7422 0.2540 0.9984
Au1 0.5000 0.5000 0.0000
Ba1 0.7500 0.2500 0.5000

Output
E_form (uncorrected) = -1.115 eV per atom
Mass density = 4.7 g/cm³


First-principles (PBE) data for a relaxed InHgSeI crystal, as listed in Alexandria.

Cell: 4.2015 4.2015 9.3958 Å, 90.04 90.04 60.02°
Atoms (fractional coordinates):
In1 0.2394 0.2394 0.1861
Hg1 0.2392 0.2392 0.4742
I1 0.9060 0.9060 0.6655
Se1 0.5726 0.5726 0.0581

Output
E_form (uncorrected) = -0.384 eV per atom
Mass density = 6.0 g/cm³


First-principles (PBE) data for a relaxed Ca4GeN crystal, as listed in Alexandria.

Cell: 6.5394 6.8569 8.3083 Å, 114.37 101.53 90.00°
Atoms (fractional coordinates):
Ca1 0.1320 0.7095 0.4189
Ca2 0.8680 0.2905 0.5811
Ca3 0.0000 0.7370 0.0000
Ca4 0.0000 0.2630 0.0000
Ca5 0.5003 0.3881 0.2420
Ca6 0.4997 0.6119 0.7580
Ca7 0.5003 0.8539 0.2420
Ca8 0.4997 0.1461 0.7580
Ge1 0.2488 0.2124 0.4249
Ge2 0.7512 0.7876 0.5751
N1 0.2421 0.5718 0.1435
N2 0.7579 0.4282 0.8565

Output
E_form (uncorrected) = -0.540 eV per atom
Mass density = 2.5 g/cm³